{
  "formula": "Ca2HN",
  "functional": "PBE",
  "state": "relaxed",
  "dft_energy_ev_per_cell": -75.54,
  "cell": [[-2.5836, -6.3542, 2.0284], [4.2841, -4.7426, 3.2124], [-0.8557, -1.4596, 6.9500]],
  "species": ["Ca", "Ca", "Ca", "Ca", "Ca", "Ca", "Ca", "Ca", "H", "H", "H", "H", "N", "N", "N", "N"],
  "frac_coords": [[0.7380, 0.2860, 0.7380], [0.7380, 0.7380, 0.2860], [0.7380, 0.7380, 0.7380], [0.7140, 0.2620, 0.2620], [0.2620, 0.7140, 0.2620], [0.2860, 0.7380, 0.7380], [0.2620, 0.2620, 0.7140], [0.2620, 0.2620, 0.2620], [0.0000, 0.5000, 0.0000], [0.0000, 0.0000, 0.5000], [0.0000, 0.0000, 0.0000], [0.5000, 0.0000, 0.0000], [0.5000, 0.0000, 0.5000], [0.5000, 0.5000, 0.5000], [0.0000, 0.5000, 0.5000], [0.5000, 0.5000, 0.0000]]
}

---

{
  "formula": "RbLa2YW",
  "functional": "PBE",
  "state": "relaxed",
  "formation_energy_ev_per_fu": 10.44,
  "cell": [[-1.0410, 5.3422, -0.6555], [-5.0880, -0.8423, 1.2158], [1.1216, 0.8683, 5.2954]],
  "species": ["La", "La", "Y", "Rb", "W"],
  "frac_coords": [[0.0000, 0.0000, 0.5000], [0.5000, 0.0000, 0.0000], [0.0000, 0.5000, 0.0000], [0.0000, 0.0000, 0.0000], [0.5000, 0.5000, 0.5000]]
}

---

{
  "formula": "TbDy2Ru",
  "functional": "PBE",
  "state": "relaxed",
  "de_polymorph_mev_per_atom": 114.8,
  "formation_energy_ev_per_fu": -0.82,
  "cell": [[3.4280, 0.0000, 0.0000], [0.0000, 3.4280, 0.0000], [0.0000, 0.0000, 8.9355]],
  "species": ["Ru", "Dy", "Dy", "Tb"],
  "frac_coords": [[0.5000, 0.5000, 0.0000], [0.0000, 0.0000, 0.8155], [0.0000, 0.0000, 0.1845], [0.5000, 0.5000, 0.5000]]
}

---

{
  "formula": "Be4ZnCu",
  "functional": "PBE",
  "state": "relaxed",
  "formation_energy_ev_per_fu": -0.51,
  "cell": [[4.3086, 0.0000, 0.0000], [2.1543, 3.7313, 0.0000], [2.1543, 1.2438, 3.5179]],
  "species": ["Be", "Be", "Be", "Be", "Cu", "Zn"],
  "frac_coords": [[0.3755, 0.8734, 0.3755], [0.3755, 0.3755, 0.8734], [0.8734, 0.3755, 0.3755], [0.3755, 0.3755, 0.3755], [0.7500, 0.7500, 0.7500], [0.0000, 0.0000, 0.0000]]
}

---

{
  "formula": "NdTlCu",
  "functional": "PBE",
  "state": "relaxed",
  "formation_energy_ev_per_fu": -0.76,
  "cell": [[-2.9018, 2.8210, 0.1288], [-5.3988, -5.5412, -0.2639], [-0.0135, -0.6347, 13.6033]],
  "species": ["Nd", "Nd", "Nd", "Nd", "Nd", "Nd", "Tl", "Tl", "Tl", "Tl", "Tl", "Tl", "Cu", "Cu", "Cu", "Cu", "Cu", "Cu"],
  "frac_coords": [[0.0000, 0.2382, 0.5460], [0.0000, 0.1433, 0.2500], [0.0000, 0.7618, 0.4540], [0.0000, 0.2382, 0.9540], [0.0000, 0.8567, 0.7500], [0.0000, 0.7618, 0.0460], [0.5000, 0.4225, 0.1224], [0.5000, 0.4225, 0.3776], [0.5000, 0.5775, 0.6224], [0.5000, 0.5775, 0.8776], [0.5000, 0.1925, 0.7500], [0.5000, 0.8075, 0.2500], [0.5000, 0.9489, 0.9128], [0.5000, 0.0511, 0.4128], [0.0000, 0.5543, 0.2500], [0.5000, 0.9489, 0.5872], [0.0000, 0.4457, 0.7500], [0.5000, 0.0511, 0.0872]]
}

---

{
  "formula": "Ca2ZnAs4Pd3",
  "functional": "PBE",
  "state": "relaxed",
  "formation_energy_ev_per_fu": -6.89,
  "cell": [[-3.0951, 1.0539, 2.6983], [1.8567, -2.3092, 3.0317], [5.7151, 8.7269, 3.1471]],
  "species": ["Zn", "Pd", "Pd", "Pd", "As", "As", "As", "As", "Ca", "Ca"],
  "frac_coords": [[0.5000, 0.5000, 0.5000], [0.0000, 0.0000, 0.5000], [0.5000, 0.0000, 0.8656], [0.0000, 0.5000, 0.1344], [0.0000, 0.5000, 0.3610], [0.5000, 0.5000, 0.0000], [0.0000, 0.0000, 0.0000], [0.5000, 0.0000, 0.6390], [0.5000, 0.0000, 0.2525], [0.0000, 0.5000, 0.7475]]
}

---

{
  "formula": "Ba2Bi3Pd4Pb",
  "functional": "PBE",
  "state": "relaxed",
  "formation_energy_ev_per_fu": -6.07,
  "cell": [[4.9338, 0.0000, 0.0000], [0.0000, 4.9338, 0.0000], [0.0000, 0.0000, 11.1196]],
  "species": ["Pb", "Ba", "Ba", "Pd", "Pd", "Pd", "Pd", "Bi", "Bi", "Bi"],
  "frac_coords": [[0.5000, 0.5000, 0.5000], [0.5000, 0.0000, 0.2398], [0.0000, 0.5000, 0.7602], [0.5000, 0.5000, 0.0000], [0.0000, 0.5000, 0.3710], [0.0000, 0.0000, 0.0000], [0.5000, 0.0000, 0.6290], [0.5000, 0.0000, 0.8788], [0.0000, 0.5000, 0.1212], [0.0000, 0.0000, 0.5000]]
}

---

{
  "formula": "Rb3BrF6",
  "functional": "PBE",
  "state": "relaxed",
  "formation_energy_uncorrected_ev_per_atom": -2.053,
  "de_polymorph_mev_per_atom": 0.0,
  "cell": [[-0.6848, 3.1434, -3.0989], [-6.1255, -3.5633, -2.2609], [-7.7647, 7.4502, 9.2952]],
  "species": ["Rb", "Rb", "Rb", "Rb", "Rb", "Rb", "Br", "Br", "F", "F", "F", "F", "F", "F", "F", "F", "F", "F", "F", "F"],
  "frac_coords": [[0.4577, 0.1682, 0.7581], [0.5423, 0.8318, 0.2419], [0.5000, 0.5000, 0.0000], [0.9577, 0.3318, 0.2581], [0.0000, 0.0000, 0.5000], [0.0423, 0.6682, 0.7419], [0.0000, 0.0000, 0.0000], [0.5000, 0.5000, 0.5000], [0.9529, 0.0134, 0.6881], [0.0471, 0.9866, 0.3119], [0.7795, 0.6060, 0.4123], [0.5461, 0.2664, 0.4407], [0.4539, 0.7336, 0.5593], [0.2795, 0.8940, 0.9123], [0.2205, 0.3940, 0.5877], [0.7205, 0.1060, 0.0877], [0.5471, 0.5134, 0.8119], [0.4529, 0.4866, 0.1881], [0.9539, 0.7664, 0.0593], [0.0461, 0.2336, 0.9407]]
}

---

{
  "formula": "HfPdF",
  "functional": "PBE",
  "state": "relaxed",
  "formation_energy_uncorrected_ev_per_atom": -1.252,
  "cell": [[3.0074, 0.0000, 0.0000], [-1.5037, 2.6046, 0.0000], [0.0000, 0.0000, 14.2945]],
  "species": ["Pd", "Pd", "F", "F", "Hf", "Hf"],
  "frac_coords": [[0.6031, 0.2062, 0.0000], [0.3173, 0.6347, 0.5000], [0.6032, 0.2065, 0.2564], [0.6032, 0.2065, 0.7436], [0.2698, 0.5397, 0.1561], [0.2698, 0.5397, 0.8439]]
}

---

{
  "formula": "Re2HgW",
  "functional": "PBE",
  "state": "relaxed",
  "formation_energy_ev_per_fu": 1.97,
  "cell": [[-4.9291, 4.7765, -6.6151], [-4.5296, 2.3325, -8.0569], [-6.7303, 2.5799, -6.2384]],
  "species": ["Re", "Re", "W", "Hg"],
  "frac_coords": [[0.9937, 0.9937, 0.9937], [0.5063, 0.5063, 0.5063], [0.2500, 0.2500, 0.2500], [0.7500, 0.7500, 0.7500]]
}

---

{
  "formula": "Th12Ti3Hg5",
  "functional": "PBE",
  "state": "relaxed",
  "formation_energy_ev_per_fu": 12.19,
  "cell": [[-10.3480, 9.0643, 7.1868], [-7.3389, -9.2505, -10.0728], [7.4585, -8.6659, 10.4960]],
  "species": ["Th", "Th", "Th", "Th", "Th", "Th", "Th", "Th", "Th", "Th", "Th", "Th", "Th", "Th", "Th", "Th", "Th", "Th", "Th", "Th", "Th", "Th", "Th", "Th", "Th", "Th", "Th", "Th", "Th", "Th", "Th", "Th", "Th", "Th", "Th", "Th", "Th", "Th", "Th", "Th", "Th", "Th", "Th", "Th", "Th", "Th", "Th", "Th", "Hg", "Hg", "Hg", "Hg", "Hg", "Hg", "Hg", "Hg", "Hg", "Hg", "Hg", "Hg", "Hg", "Hg", "Hg", "Hg", "Hg", "Hg", "Hg", "Hg", "Ti", "Ti", "Ti", "Ti", "Ti", "Ti", "Ti", "Ti", "Ti", "Ti", "Ti", "Ti"],
  "frac_coords": [[0.3576, 0.9321, 0.7692], [0.8371, 0.9255, 0.0679], [0.2308, 0.5679, 0.6424], [0.3371, 0.5679, 0.4255], [0.4321, 0.7692, 0.8576], [0.5745, 0.6424, 0.4117], [0.9321, 0.3576, 0.2692], [0.4255, 0.3576, 0.5883], [0.9321, 0.5745, 0.1629], [0.1629, 0.0745, 0.9321], [0.9255, 0.8371, 0.5679], [0.6424, 0.5745, 0.9117], [0.0745, 0.1629, 0.4321], [0.7308, 0.5883, 0.1629], [0.2692, 0.8576, 0.9321], [0.1629, 0.0883, 0.7308], [0.7692, 0.4321, 0.3576], [0.2692, 0.4117, 0.8371], [0.4321, 0.6629, 0.0745], [0.4117, 0.2692, 0.3371], [0.5679, 0.2308, 0.1424], [0.2308, 0.6629, 0.0883], [0.8576, 0.5883, 0.9255], [0.6424, 0.0679, 0.2308], [0.4117, 0.1424, 0.5745], [0.9117, 0.8371, 0.7692], [0.5883, 0.7308, 0.6629], [0.0679, 0.6424, 0.7308], [0.7308, 0.1424, 0.0679], [0.9255, 0.0883, 0.8576], [0.5745, 0.9321, 0.6629], [0.5679, 0.3371, 0.9255], [0.3576, 0.4255, 0.0883], [0.9117, 0.0745, 0.6424], [0.8576, 0.2692, 0.4321], [0.0883, 0.9255, 0.3576], [0.0883, 0.1629, 0.2308], [0.7692, 0.3371, 0.9117], [0.1424, 0.4117, 0.0745], [0.3371, 0.7692, 0.4117], [0.0745, 0.9117, 0.1424], [0.0679, 0.4255, 0.8371], [0.5883, 0.8576, 0.4255], [0.6629, 0.4321, 0.5745], [0.4255, 0.0679, 0.3371], [0.8371, 0.9117, 0.2692], [0.6629, 0.2308, 0.5883], [0.1424, 0.7308, 0.5679], [0.5000, 0.5000, 0.5000], [0.7500, 0.1250, 0.8750], [0.3750, 0.2500, 0.1250], [0.0000, 0.0000, 0.0000], [0.0000, 0.0000, 0.5000], [0.5000, 0.0000, 0.0000], [0.2500, 0.3750, 0.6250], [0.8750, 0.2500, 0.6250], [0.5000, 0.5000, 0.0000], [0.0000, 0.5000, 0.5000], [0.5000, 0.0000, 0.5000], [0.0000, 0.5000, 0.0000], [0.1250, 0.3750, 0.2500], [0.8750, 0.6250, 0.7500], [0.6250, 0.7500, 0.8750], [0.2500, 0.8750, 0.1250], [0.7500, 0.6250, 0.3750], [0.3750, 0.1250, 0.7500], [0.6250, 0.8750, 0.2500], [0.1250, 0.7500, 0.3750], [0.6250, 0.3750, 0.7500], [0.2500, 0.1250, 0.3750], [0.3750, 0.6250, 0.2500], [0.7500, 0.3750, 0.1250], [0.8750, 0.7500, 0.1250], [0.8750, 0.1250, 0.2500], [0.1250, 0.2500, 0.8750], [0.1250, 0.8750, 0.7500], [0.3750, 0.7500, 0.6250], [0.7500, 0.8750, 0.6250], [0.6250, 0.2500, 0.3750], [0.2500, 0.6250, 0.8750]]
}

---

{
  "formula": "Sc5GaRu6",
  "functional": "PBE",
  "state": "relaxed",
  "formation_energy_ev_per_fu": -6.13,
  "cell": [[4.2943, 0.0182, -1.2532], [-0.8801, 5.6352, -2.9345], [-0.0624, 0.3891, 7.7761]],
  "species": ["Ru", "Ru", "Ru", "Ru", "Ru", "Ru", "Sc", "Sc", "Sc", "Sc", "Sc", "Ga"],
  "frac_coords": [[0.5000, 0.2459, 0.0000], [0.1636, 0.4113, 0.3273], [0.5000, 0.7541, 0.0000], [0.8364, 0.5887, 0.6727], [0.1636, 0.9160, 0.3273], [0.8364, 0.0840, 0.6727], [0.3319, 0.3319, 0.6638], [0.6614, 0.1614, 0.3228], [0.0000, 0.5000, 0.0000], [0.6681, 0.6681, 0.3362], [0.3386, 0.8386, 0.6772], [0.0000, 0.0000, 0.0000]]
}

---

{
  "formula": "CaDy4Mg5",
  "functional": "PBE",
  "state": "relaxed",
  "formation_energy_ev_per_fu": -0.79,
  "cell": [[3.8126, 0.0000, 0.0000], [0.0000, 3.8126, 0.0000], [0.0000, 0.0000, 19.2268]],
  "species": ["Dy", "Dy", "Dy", "Dy", "Mg", "Mg", "Mg", "Mg", "Mg", "Ca"],
  "frac_coords": [[0.0000, 0.0000, 0.7904], [0.0000, 0.0000, 0.2096], [0.0000, 0.0000, 0.5975], [0.0000, 0.0000, 0.4025], [0.5000, 0.5000, 0.3055], [0.5000, 0.5000, 0.6945], [0.5000, 0.5000, 0.1100], [0.5000, 0.5000, 0.5000], [0.5000, 0.5000, 0.8900], [0.0000, 0.0000, 0.0000]]
}

---

{
  "formula": "CoH4NCl3",
  "functional": "PBE",
  "state": "relaxed",
  "dft_energy_ev_per_cell": -159.64,
  "cell": [[-5.2657, 3.7812, 3.1622], [-4.0144, -3.9818, -1.8539], [6.9738, -10.2076, 7.4078]],
  "species": ["Cl", "Cl", "Cl", "Cl", "Cl", "Cl", "Cl", "Cl", "Cl", "Cl", "Cl", "Cl", "H", "H", "H", "H", "H", "H", "H", "H", "H", "H", "H", "H", "H", "H", "H", "H", "Co", "Co", "Co", "Co", "N", "N", "N", "N"],
  "frac_coords": [[0.7456, 0.3236, 0.3731], [0.2460, 0.3211, 0.1775], [0.6452, 0.3392, 0.6216], [0.8492, 0.8222, 0.2730], [0.4463, 0.8245, 0.3290], [0.3357, 0.8173, 0.0710], [0.7500, 0.3504, 0.8786], [0.3440, 0.8403, 0.5758], [0.4459, 0.8483, 0.8247], [0.2375, 0.3475, 0.6746], [0.6382, 0.3210, 0.1236], [0.8421, 0.8429, 0.7734], [0.8742, 0.0760, 0.5563], [0.2030, 0.1014, 0.8844], [0.8701, 0.8537, 0.6258], [0.3399, 0.3444, 0.4620], [0.7413, 0.8563, 0.9833], [0.0660, 0.3430, 0.3849], [0.3434, 0.3172, 0.9651], [0.0699, 0.3299, 0.8885], [0.8620, 0.8384, 0.1200], [0.2079, 0.5721, 0.3934], [0.8844, 0.0720, 0.0632], [0.0148, 0.8410, 0.0597], [0.0257, 0.8526, 0.5664], [0.2209, 0.3477, 0.3252], [0.2231, 0.3376, 0.8285], [0.7521, 0.8411, 0.4892], [0.5428, 0.0589, 0.2244], [0.5435, 0.5865, 0.2248], [0.5442, 0.5812, 0.7244], [0.5443, 0.1090, 0.7251], [0.8753, 0.8993, 0.0563], [0.2100, 0.2741, 0.8918], [0.2087, 0.3990, 0.3914], [0.8808, 0.9030, 0.5596]]
}

---

{
  "formula": "Hg2BrCl",
  "functional": "PBE",
  "state": "relaxed",
  "formation_energy_uncorrected_ev_per_atom": -0.178,
  "de_polymorph_mev_per_atom": 167.0,
  "cell": [[5.8794, 0.0299, 0.0073], [-0.3096, 5.8713, -0.0073], [-1.1880, -4.4578, 3.6448]],
  "species": ["Cl", "Br", "Hg", "Hg"],
  "frac_coords": [[0.2500, 0.7500, 0.5000], [0.7500, 0.2500, 0.5000], [0.4945, 0.4945, 0.0000], [0.0055, 0.0055, 0.0000]]
}

---

{
  "formula": "In4Sn4Pb",
  "functional": "PBE",
  "state": "relaxed",
  "de_polymorph_mev_per_atom": 77.9,
  "formation_energy_ev_per_fu": 1.01,
  "cell": [[-7.7526, -1.7763, -2.8233], [3.2402, -2.3143, -7.4413], [0.7355, -7.3548, 2.6076]],
  "species": ["In", "In", "In", "In", "In", "In", "In", "In", "Sn", "Sn", "Sn", "Sn", "Sn", "Sn", "Sn", "Sn", "Pb", "Pb"],
  "frac_coords": [[0.7666, 0.0000, 0.6361], [0.0000, 0.2334, 0.3639], [0.5000, 0.7334, 0.1361], [0.0000, 0.7666, 0.3639], [0.7334, 0.5000, 0.8639], [0.5000, 0.2666, 0.1361], [0.2666, 0.5000, 0.8639], [0.2334, 0.0000, 0.6361], [0.0000, 0.2820, 0.7433], [0.7180, 0.0000, 0.2567], [0.7820, 0.5000, 0.2433], [0.2180, 0.5000, 0.2433], [0.5000, 0.2180, 0.7567], [0.2820, 0.0000, 0.2567], [0.0000, 0.7180, 0.7433], [0.5000, 0.7820, 0.7567], [0.0000, 0.0000, 0.0000], [0.5000, 0.5000, 0.5000]]
}